VASP calculation (PBEsol) on crystalline BaGe2As2 at its relaxed geometry.

space group: P4_2mc, No. 105
energy: -98.98 eV/cell
DFT formation energy: -0.5013 eV per atom

Cell and atoms, written as CIF:
```
data_BaGe2As2
_cell_length_a 7.7997
_cell_length_b 7.7997
_cell_length_c 8.6473
_cell_angle_alpha 90.00
_cell_angle_beta 90.00
_cell_angle_gamma 90.00
_symmetry_space_group_name_H-M 'P 1'
_symmetry_Int_Tables_number 1
_symmetry_space_group_name_Hall 'P 1'
loop_
_atom_site_label
_atom_site_fract_x
_atom_site_fract_y
_atom_site_fract_z
Ba1 0.0000 0.5000 0.5240
Ba2 0.5000 0.0000 0.0240
Ba3 0.0000 0.0000 0.4996
Ba4 0.0000 0.0000 0.9996
Ge1 0.1631 0.5000 0.1072
Ge2 0.5000 0.8369 0.6072
Ge3 0.8369 0.5000 0.1072
Ge4 0.5000 0.1631 0.6072
Ge5 0.3345 0.5000 0.8657
Ge6 0.5000 0.3345 0.3657
Ge7 0.5000 0.6655 0.3657
Ge8 0.6655 0.5000 0.8657
As1 0.7721 0.2436 0.2561
As2 0.2279 0.7564 0.2561
As3 0.2436 0.2279 0.7561
As4 0.7564 0.7721 0.7561
As5 0.2279 0.2436 0.2561
As6 0.7564 0.2279 0.7561
As7 0.2436 0.7721 0.7561
As8 0.7721 0.7564 0.2561
```